1.
YTl2: optimized geometry, PBE.

Cell: 6.634 6.634 7.766 Å, 108.84 108.84 32.09°
Fractional positions:
Y1 0.185 0.185 0.148
Y2 0.815 0.815 0.852
Tl1 0.135 0.135 0.537
Tl2 0.468 0.468 0.195
Tl3 0.532 0.532 0.805
Tl4 0.865 0.865 0.463

Values from the calculation:
V	28.51	Å³/atom
D(E_F)	4.5	states/eV per cell
space-group type	C2/m, No. 12
ΔH_f (0 K)	-0.415	eV/f.u.

***

2.
PrNd2Bi: optimized geometry, PBE.

Cell: 10.112 10.112 10.112 Å, 23.83 23.83 23.83°
Fractional positions:
Pr1 0.000 0.000 0.000
Nd1 0.237 0.237 0.237
Nd2 0.430 0.430 0.430
Bi1 0.833 0.833 0.833

Values from the calculation:
V	37.08	Å³/atom
D(E_F)	4.4	states/eV per cell
space-group type	R3m, No. 160
distance to the lowest polymorph of the same formula	225	meV/atom
ΔH_f (0 K)	-0.934	eV/f.u.

***

3.
TeAs2BrF: optimized geometry, PBE.

Cell: 5.485 5.485 5.495 Å, 90.00 90.00 90.00°
Fractional positions:
Te1 0.000 0.000 0.000
As1 0.000 0.500 0.000
As2 0.500 0.000 0.000
Br1 0.000 0.000 0.500
F1 0.500 0.500 0.500

Values from the calculation:
V	33.07	Å³/atom
D(E_F)	6.3	states/eV per cell
space-group type	P4/mmm, No. 123
distance to the lowest polymorph of the same formula	307	meV/atom

***

4.
CdTe2Pb: optimized geometry, PBE.

Cell: 7.163 7.163 4.790 Å, 90.49 90.49 37.09°
Fractional positions:
Cd1 0.000 0.000 0.000
Te1 0.551 0.551 0.320
Te2 0.806 0.806 0.794
Pb1 0.322 0.322 0.349

Values from the calculation:
V	37.05	Å³/atom
space-group type	Cm, No. 8
uncorrected energy	-3.002	eV/atom

***

5.
Pm2Be4Si3Ir: optimized geometry, PBE.

Cell: 3.875 3.875 9.996 Å, 90.00 90.00 90.00°
Fractional positions:
Pm1 0.000 0.500 0.244
Pm2 0.500 0.000 0.756
Be1 0.000 0.000 0.000
Be2 0.000 0.500 0.632
Be3 0.500 0.000 0.368
Be4 0.500 0.500 0.000
Si1 0.000 0.500 0.870
Si2 0.500 0.000 0.130
Si3 0.500 0.500 0.500
Ir1 0.000 0.000 0.500

Values from the calculation:
V	15.01	Å³/atom
D(E_F)	5.6	states/eV per cell
space-group type	P-4m2, No. 115
uncorrected energy	-5.463	eV/atom

***

6.
BaInSN2: optimized geometry, PBE.

Cell: 5.261 5.261 6.150 Å, 90.00 90.00 90.00°
Fractional positions:
Ba1 0.000 0.000 0.000
In1 0.500 0.500 0.500
S1 0.000 0.000 0.500
N1 0.000 0.500 0.000
N2 0.500 0.000 0.000

Values from the calculation:
V	34.05	Å³/atom
D(E_F)	4.0	states/eV per cell
space-group type	P4/mmm, No. 123
distance to the lowest polymorph of the same formula	947	meV/atom

***

7.
Sr2B2S5: optimized geometry, PBE.

Cell: 6.261 6.261 6.602 Å, 101.15 101.15 46.02°
Fractional positions:
Sr1 0.098 0.098 0.292
Sr2 0.902 0.902 0.708
B1 0.334 0.334 0.119
B2 0.666 0.666 0.881
S1 0.197 0.197 0.914
S2 0.359 0.359 0.403
S3 0.500 0.500 0.000
S4 0.641 0.641 0.597
S5 0.803 0.803 0.086

Values from the calculation:
V	20.23	Å³/atom
space-group type	C2/m, No. 12
distance to the lowest polymorph of the same formula	393	meV/atom

***

8.
LaAl2Se: optimized geometry, PBE.

Cell: 3.794 3.794 6.341 Å, 90.00 90.00 90.00°
Fractional positions:
La1 0.000 0.000 0.000
Al1 0.000 0.000 0.509
Al2 0.500 0.500 0.685
Se1 0.500 0.500 0.271

Values from the calculation:
V	22.82	Å³/atom
D(E_F)	1.2	states/eV per cell
space-group type	P4mm, No. 99
distance to the lowest polymorph of the same formula	49	meV/atom

***

9.
ScSbW3: optimized geometry, PBE.

Cell: 4.894 4.894 4.894 Å, 90.00 90.00 90.00°
Fractional positions:
Sc1 0.000 0.000 0.000
Sb1 0.500 0.500 0.500
W1 0.000 0.500 0.500
W2 0.500 0.000 0.500
W3 0.500 0.500 0.000

Values from the calculation:
V	23.44	Å³/atom
D(E_F)	6.4	states/eV per cell
space-group type	Pm-3m, No. 221
distance to the lowest polymorph of the same formula	0	meV/atom

***

10.
BiTeN3: optimized geometry, PBE.

Cell: 4.273 4.273 4.273 Å, 90.00 90.00 90.00°
Fractional positions:
Bi1 0.000 0.000 0.000
Te1 0.500 0.500 0.500
N1 0.000 0.000 0.500
N2 0.000 0.500 0.000
N3 0.500 0.000 0.000

Values from the calculation:
V	15.61	Å³/atom
D(E_F)	4.5	states/eV per cell
space-group type	Pm-3m, No. 221
uncorrected energy	-4.371	eV/atom

***

11.
Ca2YCu: optimized geometry, PBE.

Cell: 5.472 5.472 5.472 Å, 60.00 60.00 60.00°
Fractional positions:
Ca1 0.250 0.250 0.250
Ca2 0.750 0.750 0.750
Y1 0.000 0.000 0.000
Cu1 0.500 0.500 0.500

Values from the calculation:
V	28.97	Å³/atom
D(E_F)	3.8	states/eV per cell
space-group type	Fm-3m, No. 225
distance to the lowest polymorph of the same formula	384	meV/atom
ΔH_f (0 K)	1.336	eV/f.u.

***

12.
CuSb2F: optimized geometry, PBE.

Cell: 4.630 4.630 4.630 Å, 60.00 60.00 60.00°
Fractional positions:
Cu1 0.000 0.000 0.000
Sb1 0.250 0.250 0.250
Sb2 0.750 0.750 0.750
F1 0.500 0.500 0.500

Values from the calculation:
V	17.55	Å³/atom
D(E_F)	0.1	states/eV per cell
space-group type	Fm-3m, No. 225
distance to the lowest polymorph of the same formula	0	meV/atom

***

What is the V in the second record?
37.08 Å³/atom